[1]
The following is a PBE calculation of K2LaRe after structural relaxation, from the Alexandria database.

Results
Energy relative to the elements = 0.714 eV/atom
Spin magnetization = 0.080 μB/cell
Calculated total energy = -0.307 Ry/atom

abc: 21.341 3.378 4.625
angles: 90.00 102.44 90.00
Space group C2/m (No. 12)
One atom of each set of equivalent atoms:
K 0.155 0.000 0.154 (multiplicity 4)
La 0.000 0.000 0.500 (multiplicity 2)
Re 0.000 0.500 0.000 (multiplicity 2)



[2]
The following is a PBE calculation of K2LaRe after structural relaxation, from the Alexandria database.

Results
Energy relative to the elements = 1.151 eV/atom
Spin magnetization = 0.165 μB/cell
Calculated total energy = -0.275 Ry/atom

abc: 5.888 13.434 3.545
angles: 90.00 120.53 90.00
Space group C2/m (No. 12)
One atom of each set of equivalent atoms:
K 0.250 0.250 0.000 (multiplicity 4)
La 0.000 0.000 0.500 (multiplicity 2)
Re 0.000 0.500 0.500 (multiplicity 2)



[3]
The following is a PBE calculation of K2LaRe after structural relaxation, from the Alexandria database.

Results
Energy relative to the elements = 1.290 eV/atom
Spin magnetization = 4.475 μB/cell
Calculated total energy = -0.265 Ry/atom

abc: 7.776 7.776 7.776
angles: 90.00 90.00 90.00
Space group F-43m (No. 216)
One atom of each set of equivalent atoms:
K 0.000 0.000 0.000 (multiplicity 4)
K 0.250 0.250 0.250 (multiplicity 4)
La 0.250 0.250 0.750 (multiplicity 4)
Re 0.000 0.000 0.500 (multiplicity 4)



[4]
The following is a PBE calculation of K2LaRe after structural relaxation, from the Alexandria database.

Results
Energy relative to the elements = 0.848 eV/atom
Spin magnetization = 0.020 μB/cell
Calculated total energy = -0.297 Ry/atom

abc: 9.159 3.414 10.246
angles: 90.00 94.41 90.00
Space group Cm (No. 8)
One atom of each set of equivalent atoms:
K 0.000 0.000 0.000 (multiplicity 2)
K 0.219 0.000 0.616 (multiplicity 2)
La 0.448 0.000 0.330 (multiplicity 2)
Re 0.212 0.500 0.256 (multiplicity 2)



[5]
The following is a PBE calculation of KLa2ReSi after structural relaxation, from the Alexandria database.

Results
Uncorrected formation energy = 6.0 eV per formula unit
Spin magnetization = 2.908 μB/cell
Calculated total energy = -0.335 Ry/atom

abc: 5.694 5.694 5.771
angles: 90.00 90.00 90.00
Space group P4/mmm (No. 123)
One atom of each set of equivalent atoms:
K 0.000 0.000 0.000 (multiplicity 1)
La 0.000 0.500 0.500 (multiplicity 2)
Re 0.500 0.500 0.000 (multiplicity 1)
Si 0.000 0.000 0.500 (multiplicity 1)



[6]
The following is a PBE calculation of KLaTaRe2 after structural relaxation, from the Alexandria database.

Results
Energy relative to the elements = 2.959 eV/atom
Spin magnetization = 0.002 μB/cell
Calculated total energy = -0.411 Ry/atom

abc: 4.708 4.708 4.896
angles: 90.00 90.00 90.00
Space group P4/mmm (No. 123)
One atom of each set of equivalent atoms:
K 0.000 0.000 0.000 (multiplicity 1)
La 0.000 0.000 0.500 (multiplicity 1)
Ta 0.500 0.500 0.500 (multiplicity 1)
Re 0.000 0.500 0.000 (multiplicity 2)